# 1
Computed, not measured: YMgH after structural relaxation at the PBE-GGA level of DFT.

The excess energy over the best structure of this formula in the dataset is 179.8 meV per atom. For the energy, the calculation gives -3.84 eV/atom. The total moment comes out at 0.89 μB per cell. The density is 3.05 g/cm3.

a b c (Å): 3.2140 3.2140 12.0209
angles (deg): 90.00 90.00 90.00
Space group I4mm (No. 107)
Unique sites:
Y 0.0000 0.0000 0.0000 x2
Mg 0.0000 0.0000 0.2836 x2
H 0.0000 0.0000 0.5199 x2

=====

# 2
Computed, not measured: AlZn2 after structural relaxation at the PBE-GGA level of DFT.

For the energy, the calculation gives -2.06 eV/atom. The total moment comes out at 0.00 μB per cell. The density is 5.49 g/cm3. The formation energy from the elements is 0.04 eV per atom.

a b c (Å): 3.1025 3.9064 7.8735
angles (deg): 90.00 90.00 90.00
Space group Immm (No. 71)
Unique sites:
Al 0.0000 0.0000 0.0000 x2
Zn 0.0000 0.0000 0.3342 x4

=====

# 3
Computed, not measured: CaMgCo3 after structural relaxation at the PBE-GGA level of DFT.

The excess energy over the best structure of this formula in the dataset is 587.5 meV per atom. For the energy, the calculation gives -3.38 eV/atom. The total moment comes out at 3.32 μB per cell. The density is 4.23 g/cm3. The formation energy from the elements is 1.60 eV per atom.

a b c (Å): 4.5592 4.5592 4.5592
angles (deg): 90.00 90.00 90.00
Space group Pm-3m (No. 221)
Unique sites:
Ca 0.0000 0.0000 0.0000 x1
Mg 0.5000 0.5000 0.5000 x1
Co 0.0000 0.0000 0.5000 x3